{"formula": "CaMnO2", "functional": "GGA+U", "state": "optimized geometry", "cell": [[8.050, 0.000, 0.000], [0.000, 3.320, 0.000], [-2.702, 0.000, 7.628]], "species": ["Ca", "Ca", "Ca", "Ca", "Mn", "Mn", "Mn", "Mn", "O", "O", "O", "O", "O", "O", "O", "O"], "fractional_positions": [[0.065, 0.250, 0.187], [0.198, 0.750, 0.570], [0.802, 0.250, 0.430], [0.935, 0.750, 0.813], [0.319, 0.250, 0.943], [0.437, 0.750, 0.311], [0.563, 0.250, 0.689], [0.681, 0.750, 0.057], [0.066, 0.250, 0.692], [0.199, 0.750, 0.062], [0.325, 0.250, 0.437], [0.445, 0.750, 0.820], [0.555, 0.250, 0.180], [0.675, 0.750, 0.563], [0.801, 0.250, 0.938], [0.934, 0.750, 0.308]], "volume_a3_per_cell": 203.8, "dft_energy_ev_per_atom": -7.1207, "m_tot_mub_per_fu": 5.000, "density_kg_m3": 4139, "sg": "P2_1/m, No. 11"}